A geometry-optimized LuMgNiRh structure, computed with PBE-GGA.

The structure in POSCAR format:
```
LuMgNiRh
1.0
-1.107 -3.555 2.625
1.873 -0.454 4.128
-2.535 0.627 3.733
Ni Mg Lu Rh
1 1 1 1
direct
0.000 0.000 0.000
0.750 0.750 0.750
0.250 0.250 0.250
0.500 0.500 0.500
```

Results
Total magnetic moment: 0.00 μB/cell
DFT formation energy: -2.24 eV/f.u.
SG: F-43m (216)